(1)
The following is a DFT calculation (PBE) of crystalline LuPaCuTc at its relaxed geometry.

Calculated values
ΔE_f, eV per atom: -0.1134
Total magnetic moment, μB per formula unit: 0.0
Raw total energy, eV/atom: -7.233
Theoretical density, g/cm³: 11.85

Lattice parameters (Å, degrees): 6.8269 6.8269 6.8269 90.00 90.00 90.00
Closest atoms and distances in Å follow each position.
Space group F-43m (No. 216)
Asymmetric unit:
Lu1 0.0000 0.0000 0.0000 x4  4 Tc 2.96, 4 Cu 2.96
Pa1 0.0000 0.0000 0.5000 x4  4 Tc 2.96, 4 Cu 2.96
Cu1 0.2500 0.2500 0.7500 x4  4 Pa 2.96, 4 Lu 2.96
Tc1 0.2500 0.2500 0.2500 x4  4 Pa 2.96, 4 Lu 2.96

=====

(2)
The following is a DFT calculation (PBE) of crystalline LuPaZnCu at its relaxed geometry.

Calculated values
ΔE_f, eV per atom: 0.0092
Total magnetic moment, μB per formula unit: 0.5
Raw total energy, eV/atom: -4.838
Theoretical density, g/cm³: 10.61

Lattice parameters (Å, degrees): 6.9442 6.9442 6.9442 90.00 90.00 90.00
Closest atoms and distances in Å follow each position.
Space group F-43m (No. 216)
Asymmetric unit:
Lu1 0.0000 0.0000 0.0000 x4  4 Cu 3.01, 4 Zn 3.01
Pa1 0.0000 0.0000 0.5000 x4  4 Zn 3.01, 4 Cu 3.01
Zn1 0.2500 0.2500 0.7500 x4  4 Lu 3.01, 4 Pa 3.01
Cu1 0.2500 0.2500 0.2500 x4  4 Pa 3.01, 4 Lu 3.01

=====

(3)
The following is a DFT calculation (PBE) of crystalline LuCu2Pb at its relaxed geometry.

Calculated values
ΔE_f, eV per atom: -0.0713
Total magnetic moment, μB per formula unit: 0.0
Raw total energy, eV/atom: -4.177
Theoretical density, g/cm³: 10.86

Lattice parameters (Å, degrees): 4.4511 4.4511 3.9303 90.00 90.00 90.00
Closest atoms and distances in Å follow each position.
Space group P4/mmm (No. 123)
Asymmetric unit:
Lu1 0.0000 0.0000 0.0000 x1  8 Cu 2.97, 4 Pb 3.15
Cu1 0.0000 0.5000 0.5000 x2  4 Pb 2.97, 4 Lu 2.97, 4 Cu 3.15
Pb1 0.5000 0.5000 0.0000 x1  8 Cu 2.97, 4 Lu 3.15

=====

(4)
The following is a DFT calculation (PBE) of crystalline LuCuPtPb at its relaxed geometry.

Calculated values
ΔE_f, eV per atom: -0.4847
Total magnetic moment, μB per formula unit: 0.0
Raw total energy, eV/atom: -5.076
Theoretical density, g/cm³: 13.46

Lattice parameters (Å, degrees): 6.8136 6.8136 6.8136 90.00 90.00 90.00
Closest atoms and distances in Å follow each position.
Space group F-43m (No. 216)
Asymmetric unit:
Lu1 0.0000 0.0000 0.0000 x4  4 Cu 2.95, 4 Pt 2.95
Cu1 0.2500 0.2500 0.2500 x4  4 Pb 2.95, 4 Lu 2.95
Pt1 0.2500 0.2500 0.7500 x4  4 Pb 2.95, 4 Lu 2.95
Pb1 0.0000 0.0000 0.5000 x4  4 Cu 2.95, 4 Pt 2.95

=====

(5)
The following is a DFT calculation (PBE) of crystalline LuCuRuPb at its relaxed geometry.

Calculated values
ΔE_f, eV per atom: -0.0477
Total magnetic moment, μB per formula unit: 0.0
Raw total energy, eV/atom: -5.448
Theoretical density, g/cm³: 12.23

Lattice parameters (Å, degrees): 6.6725 6.6725 6.6725 90.00 90.00 90.00
Closest atoms and distances in Å follow each position.
Space group F-43m (No. 216)
Asymmetric unit:
Lu1 0.0000 0.0000 0.0000 x4  4 Ru 2.89, 4 Cu 2.89
Cu1 0.2500 0.2500 0.2500 x4  4 Lu 2.89, 4 Pb 2.89
Ru1 0.2500 0.2500 0.7500 x4  4 Pb 2.89, 4 Lu 2.89
Pb1 0.0000 0.0000 0.5000 x4  4 Cu 2.89, 4 Ru 2.89

=====

(6)
The following is a DFT calculation (PBE) of crystalline TbLuCuPb at its relaxed geometry.

Calculated values
ΔE_f, eV per atom: -0.2709
Total magnetic moment, μB per formula unit: 0.0
Raw total energy, eV/atom: -4.510
Theoretical density, g/cm³: 10.33

Lattice parameters (Å, degrees): 7.2982 7.2982 7.2982 90.00 90.00 90.00
Closest atoms and distances in Å follow each position.
Space group F-43m (No. 216)
Asymmetric unit:
Tb1 0.0000 0.0000 0.0000 x4  4 Pb 3.16, 4 Cu 3.16
Lu1 0.0000 0.0000 0.5000 x4  4 Pb 3.16, 4 Cu 3.16
Cu1 0.2500 0.2500 0.2500 x4  4 Tb 3.16, 4 Lu 3.16
Pb1 0.2500 0.2500 0.7500 x4  4 Tb 3.16, 4 Lu 3.16

=====

(7)
The following is a DFT calculation (PBE) of crystalline TmLuCuPb at its relaxed geometry.

Calculated values
ΔE_f, eV per atom: -0.2533
Total magnetic moment, μB per formula unit: 0.0
Raw total energy, eV/atom: -4.453
Theoretical density, g/cm³: 10.76

Lattice parameters (Å, degrees): 7.2386 7.2386 7.2386 90.00 90.00 90.00
Closest atoms and distances in Å follow each position.
Space group F-43m (No. 216)
Asymmetric unit:
Tm1 0.0000 0.0000 0.0000 x4  4 Pb 3.13, 4 Cu 3.13
Lu1 0.0000 0.0000 0.5000 x4  4 Pb 3.13, 4 Cu 3.13
Cu1 0.2500 0.2500 0.7500 x4  4 Tm 3.13, 4 Lu 3.13
Pb1 0.2500 0.2500 0.2500 x4  4 Tm 3.13, 4 Lu 3.13

=====

(8)
The following is a DFT calculation (PBE) of crystalline YLuCuPb at its relaxed geometry.

Calculated values
ΔE_f, eV per atom: -0.2796
Total magnetic moment, μB per formula unit: 0.0
Raw total energy, eV/atom: -4.977
Theoretical density, g/cm³: 9.16

Lattice parameters (Å, degrees): 7.2926 7.2926 7.2926 90.00 90.00 90.00
Closest atoms and distances in Å follow each position.
Space group F-43m (No. 216)
Asymmetric unit:
Y1 0.0000 0.0000 0.0000 x4  4 Pb 3.16, 4 Cu 3.16
Lu1 0.0000 0.0000 0.5000 x4  4 Pb 3.16, 4 Cu 3.16
Cu1 0.2500 0.2500 0.7500 x4  4 Y 3.16, 4 Lu 3.16
Pb1 0.2500 0.2500 0.2500 x4  4 Y 3.16, 4 Lu 3.16

=====

(9)
The following is a DFT calculation (PBE) of crystalline LuZnCuPb at its relaxed geometry.

Calculated values
ΔE_f, eV per atom: -0.0900
Total magnetic moment, μB per formula unit: 0.0
Raw total energy, eV/atom: -3.490
Theoretical density, g/cm³: 10.39

Lattice parameters (Å, degrees): 6.8877 6.8877 6.8877 90.00 90.00 90.00
Closest atoms and distances in Å follow each position.
Space group F-43m (No. 216)
Asymmetric unit:
Lu1 0.0000 0.0000 0.0000 x4  4 Cu 2.98, 4 Zn 2.98
Zn1 0.2500 0.2500 0.2500 x4  4 Lu 2.98, 4 Pb 2.98
Cu1 0.2500 0.2500 0.7500 x4  4 Pb 2.98, 4 Lu 2.98
Pb1 0.0000 0.0000 0.5000 x4  4 Zn 2.98, 4 Cu 2.98

=====

(10)
The following is a DFT calculation (PBE) of crystalline LuCuPd at its relaxed geometry.

Calculated values
ΔE_f, eV per atom: -0.5796
Excess energy over the best structure of this formula in the dataset, meV per atom: 5
Total magnetic moment, μB per formula unit: 0.0
Raw total energy, eV/atom: -5.183
Theoretical density, g/cm³: 10.29

Lattice parameters (Å, degrees): 4.3304 4.3304 3.4263 90.00 90.00 120.00
Closest atoms and distances in Å follow each position.
Space group P-6m2 (No. 187)
Asymmetric unit:
Lu1 0.0000 0.0000 0.0000 x1  6 Pd 3.03, 6 Cu 3.03
Cu1 0.3333 0.6667 0.5000 x1  3 Pd 2.50
Pd1 0.6667 0.3333 0.5000 x1  3 Cu 2.50

=====

(11)
The following is a DFT calculation (PBE) of crystalline LuCuPd at its relaxed geometry.

Calculated values
ΔE_f, eV per atom: -0.5841
Excess energy over the best structure of this formula in the dataset, meV per atom: 0
Total magnetic moment, μB per formula unit: 0.0
Raw total energy, eV/atom: -5.187
Theoretical density, g/cm³: 10.75

Lattice parameters (Å, degrees): 3.5031 3.5031 8.6817 90.00 90.00 90.00
Closest atoms and distances in Å follow each position.
Space group I4mm (No. 107)
Asymmetric unit:
Lu1 0.0000 0.0000 0.0000 x2  5 Cu 2.84-2.89, 5 Pd 2.87-2.88
Cu1 0.0000 0.0000 0.6724 x2  5 Pd 2.84-2.96, 5 Lu 2.84-2.89
Pd1 0.0000 0.0000 0.3320 x2  5 Cu 2.84-2.96, 5 Lu 2.87-2.88

=====

(12)
The following is a DFT calculation (PBE) of crystalline LuCuPdPt at its relaxed geometry.

Calculated values
ΔE_f, eV per atom: -0.7452
Total magnetic moment, μB per formula unit: 0.0
Raw total energy, eV/atom: -5.708
Theoretical density, g/cm³: 13.30

Lattice parameters (Å, degrees): 6.4609 6.4609 6.4609 90.00 90.00 90.00
Closest atoms and distances in Å follow each position.
Space group F-43m (No. 216)
Asymmetric unit:
Lu1 0.0000 0.0000 0.0000 x4  4 Pt 2.80, 4 Pd 2.80
Cu1 0.0000 0.0000 0.5000 x4  4 Pd 2.80, 4 Pt 2.80
Pd1 0.2500 0.2500 0.7500 x4  4 Cu 2.80, 4 Lu 2.80
Pt1 0.2500 0.2500 0.2500 x4  4 Cu 2.80, 4 Lu 2.80

=====

(13)
The following is a DFT calculation (PBE) of crystalline LuPuCuPd at its relaxed geometry.

Calculated values
ΔE_f, eV per atom: -0.3360
Total magnetic moment, μB per formula unit: 5.6
Raw total energy, eV/atom: -7.371
Theoretical density, g/cm³: 11.68

Lattice parameters (Å, degrees): 6.9453 6.9453 6.9453 90.00 90.00 90.00
Closest atoms and distances in Å follow each position.
Space group F-43m (No. 216)
Asymmetric unit:
Lu1 0.0000 0.0000 0.0000 x4  4 Cu 3.01, 4 Pd 3.01
Pu1 0.0000 0.0000 0.5000 x4  4 Cu 3.01, 4 Pd 3.01
Cu1 0.2500 0.2500 0.7500 x4  4 Pu 3.01, 4 Lu 3.01
Pd1 0.2500 0.2500 0.2500 x4  4 Pu 3.01, 4 Lu 3.01

=====

(14)
The following is a DFT calculation (PBE) of crystalline SmLuCuPd at its relaxed geometry.

Calculated values
ΔE_f, eV per atom: -0.5542
Total magnetic moment, μB per formula unit: 0.0
Raw total energy, eV/atom: -5.187
Theoretical density, g/cm³: 9.62

Lattice parameters (Å, degrees): 6.9927 6.9927 6.9927 90.00 90.00 90.00
Closest atoms and distances in Å follow each position.
Space group F-43m (No. 216)
Asymmetric unit:
Sm1 0.0000 0.0000 0.0000 x4  4 Cu 3.03, 4 Pd 3.03
Lu1 0.0000 0.0000 0.5000 x4  4 Cu 3.03, 4 Pd 3.03
Cu1 0.2500 0.2500 0.7500 x4  4 Sm 3.03, 4 Lu 3.03
Pd1 0.2500 0.2500 0.2500 x4  4 Sm 3.03, 4 Lu 3.03

=====

(15)
The following is a DFT calculation (PBE) of crystalline LuCuSnPd at its relaxed geometry.

Calculated values
ΔE_f, eV per atom: -0.6278
Total magnetic moment, μB per formula unit: 0.0
Raw total energy, eV/atom: -5.081
Theoretical density, g/cm³: 10.48

Lattice parameters (Å, degrees): 6.6485 6.6485 6.6485 90.00 90.00 90.00
Closest atoms and distances in Å follow each position.
Space group F-43m (No. 216)
Asymmetric unit:
Lu1 0.0000 0.0000 0.0000 x4  4 Cu 2.88, 4 Pd 2.88
Cu1 0.2500 0.2500 0.7500 x4  4 Sn 2.88, 4 Lu 2.88
Sn1 0.0000 0.0000 0.5000 x4  4 Cu 2.88, 4 Pd 2.88
Pd1 0.2500 0.2500 0.2500 x4  4 Sn 2.88, 4 Lu 2.88